The following is a PBE calculation of a relaxed structure of Ta4Fe4Si7, from OQMD.

abc: 9.2031 9.2031 9.2031
angles: 94.23 94.23 148.49
With the nearest neighbours (Å) after each atom.
Atoms (fractional coordinates):
Ta 0.0000 0.1921 0.1921  7 Si 2.63-2.84
Ta 0.0000 0.8079 0.8079  7 Si 2.63-2.84
Ta 0.1921 0.0000 0.1921  7 Si 2.63-2.84
Ta 0.3651 0.3651 0.7303  7 Si 2.66-2.82, 4 Fe 2.98
Ta 0.3651 0.6349 0.0000  7 Si 2.66-2.82, 4 Fe 2.98
Ta 0.6349 0.3651 0.0000  7 Si 2.66-2.82, 4 Fe 2.98
Ta 0.6349 0.6349 0.2697  7 Si 2.66-2.82, 4 Fe 2.98
Ta 0.8079 0.0000 0.8079  7 Si 2.63-2.84
Fe 0.1002 0.6002 0.2004  6 Si 2.29-2.36, 2 Fe 2.50
Fe 0.1002 0.8998 0.5000  6 Si 2.29-2.36, 2 Fe 2.50
Fe 0.3998 0.6002 0.5000  6 Si 2.29-2.36, 2 Fe 2.50
Fe 0.3998 0.8998 0.7996  6 Si 2.29-2.36, 2 Fe 2.50
Fe 0.6002 0.1002 0.2004  6 Si 2.29-2.36, 2 Fe 2.50
Fe 0.6002 0.3998 0.5000  6 Si 2.29-2.36, 2 Fe 2.50
Fe 0.8998 0.1002 0.5000  6 Si 2.29-2.36, 2 Fe 2.50
Fe 0.8998 0.3998 0.7996  6 Si 2.29-2.36, 2 Fe 2.50
Si 0.0000 0.4055 0.4055  4 Fe 2.36, 1 Si 2.37
Si 0.0000 0.5945 0.5945  4 Fe 2.36, 1 Si 2.37
Si 0.2010 0.5000 0.7010  4 Fe 2.34
Si 0.2092 0.2092 0.4184  4 Fe 2.29
Si 0.2092 0.7908 0.0000  4 Fe 2.29
Si 0.2507 0.2507 0.0000  2 Si 2.49-2.51, 8 Ta 2.69-2.71
Si 0.4055 0.0000 0.4055  4 Fe 2.36, 1 Si 2.37
Si 0.5000 0.2010 0.7010  4 Fe 2.34
Si 0.5000 0.7990 0.2990  4 Fe 2.34
Si 0.5945 0.0000 0.5945  4 Fe 2.36, 1 Si 2.37
Si 0.7493 0.7493 0.0000  2 Si 2.49-2.51, 8 Ta 2.69-2.71
Si 0.7908 0.2092 0.0000  4 Fe 2.29
Si 0.7908 0.7908 0.5816  4 Fe 2.29
Si 0.7990 0.5000 0.2990  4 Fe 2.34

Electronic total energy   -254.4 eV per cell



The following is a PBE calculation of a relaxed structure of HfCuTe2, from OQMD.

abc: 7.1085 7.1085 7.1085
angles: 90.00 90.00 90.00
With the nearest neighbours (Å) after each atom.
Atoms (fractional coordinates):
Hf 0.0000 0.0000 0.0000  4 Te 3.08, 4 Cu 3.08
Hf 0.0000 0.5000 0.5000  4 Cu 3.08, 4 Te 3.08
Hf 0.5000 0.0000 0.5000  4 Cu 3.08, 4 Te 3.08
Hf 0.5000 0.5000 0.0000  4 Cu 3.08, 4 Te 3.08
Cu 0.2500 0.2500 0.7500  4 Hf 3.08, 4 Te 3.08
Cu 0.2500 0.7500 0.2500  4 Hf 3.08, 4 Te 3.08
Cu 0.7500 0.2500 0.2500  4 Hf 3.08, 4 Te 3.08
Cu 0.7500 0.7500 0.7500  4 Hf 3.08, 4 Te 3.08
Te 0.0000 0.0000 0.5000  4 Te 3.08, 4 Cu 3.08
Te 0.0000 0.5000 0.0000  4 Te 3.08, 4 Cu 3.08
Te 0.2500 0.2500 0.2500  4 Hf 3.08, 4 Te 3.08
Te 0.2500 0.7500 0.7500  4 Hf 3.08, 4 Te 3.08
Te 0.5000 0.0000 0.0000  4 Te 3.08, 4 Cu 3.08
Te 0.5000 0.5000 0.5000  4 Te 3.08, 4 Cu 3.08
Te 0.7500 0.2500 0.7500  4 Hf 3.08, 4 Te 3.08
Te 0.7500 0.7500 0.2500  4 Hf 3.08, 4 Te 3.08

Electronic total energy   -75.2 eV per cell



The following is a PBE calculation of a relaxed structure of SmYSi4Ni2, from OQMD.

abc: 4.0060 4.0453 16.3555
angles: 90.00 90.00 90.00
With the nearest neighbours (Å) after each atom.
Atoms (fractional coordinates):
Sm 0.0000 0.0000 0.0000  10 Si 3.04-3.13, 4 Ni 3.09
Sm 0.0000 0.5000 0.5000  10 Si 3.04-3.13, 4 Ni 3.09
Y 0.5000 0.0000 0.2113  10 Si 3.04-3.13, 4 Ni 3.09
Y 0.5000 0.5000 0.7113  10 Si 3.04-3.13, 4 Ni 3.09
Si 0.0000 0.0000 0.3546  4 Ni 2.32-2.33
Si 0.0000 0.0000 0.6463  1 Ni 2.26, 2 Si 2.40
Si 0.0000 0.5000 0.1463  1 Ni 2.26, 2 Si 2.40
Si 0.0000 0.5000 0.8546  4 Ni 2.32-2.33
Si 0.5000 0.0000 0.5656  1 Ni 2.28, 2 Si 2.40
Si 0.5000 0.0000 0.8551  4 Ni 2.31-2.33
Si 0.5000 0.5000 0.0656  1 Ni 2.28, 2 Si 2.40
Si 0.5000 0.5000 0.3551  4 Ni 2.31-2.33
Ni 0.0000 0.0000 0.7844  5 Si 2.26-2.33
Ni 0.0000 0.5000 0.2844  5 Si 2.26-2.33
Ni 0.5000 0.0000 0.4259  5 Si 2.28-2.33
Ni 0.5000 0.5000 0.9259  5 Si 2.28-2.33

Electronic total energy   -101.4 eV per cell